# 1
# YBe2Hg | Alexandria | PBE-GGA | optimized geometry
# DFT total energy (eV per atom): -3.386
# Fermi-level density of states (states/eV per atom): 0.37
data_YBe2Hg
_cell_length_a 4.131
_cell_length_b 5.066
_cell_length_c 6.957
_cell_angle_alpha 90.00
_cell_angle_beta 90.00
_cell_angle_gamma 90.00
_space_group_name_H-M_alt 'I m m 2'
_space_group_IT_number 44
_space_group_name_Hall 'I 2 -2'
loop_
_atom_site_label
_atom_site_type_symbol
_atom_site_fract_x
_atom_site_fract_y
_atom_site_fract_z
_atom_site_occupancy
Y1 Y 0.000 0.000 0.000 1
Be1 Be 0.000 0.000 0.575 1
Be2 Be 0.000 0.500 0.200 1
Hg1 Hg 0.000 0.500 0.803 1


# 2
# Y2BeHg | Alexandria | PBE-GGA | optimized geometry
# Energy relative to the lowest polymorph listed for this composition (meV per atom): 130
# Fermi-level density of states (states/eV per atom): 1.04
data_Y2BeHg
_cell_length_a 3.521
_cell_length_b 4.926
_cell_length_c 10.548
_cell_angle_alpha 90.00
_cell_angle_beta 90.00
_cell_angle_gamma 90.00
_space_group_name_H-M_alt 'I m m 2'
_space_group_IT_number 44
_space_group_name_Hall 'I 2 -2'
loop_
_atom_site_label
_atom_site_type_symbol
_atom_site_fract_x
_atom_site_fract_y
_atom_site_fract_z
_atom_site_occupancy
Y1 Y 0.000 0.000 0.000 1
Y2 Y 0.000 0.500 0.215 1
Be1 Be 0.000 0.500 0.751 1
Hg1 Hg 0.000 0.000 0.425 1


# 3
# Y2BeHg | Alexandria | PBE-GGA | optimized geometry
# Energy relative to the lowest polymorph listed for this composition (meV per atom): 265
# Fermi-level density of states (states/eV per atom): 1.02
data_Y2BeHg
_cell_length_a 3.382
_cell_length_b 3.382
_cell_length_c 8.191
_cell_angle_alpha 90.00
_cell_angle_beta 90.00
_cell_angle_gamma 90.00
_space_group_name_H-M_alt 'P 4 m m'
_space_group_IT_number 99
_space_group_name_Hall 'P 4 -2'
loop_
_atom_site_label
_atom_site_type_symbol
_atom_site_fract_x
_atom_site_fract_y
_atom_site_fract_z
_atom_site_occupancy
Y1 Y 0.000 0.000 0.000 1
Y2 Y 0.500 0.500 0.345 1
Be1 Be 0.000 0.000 0.573 1
Hg1 Hg 0.500 0.500 0.736 1


# 4
# YBe2Hg | Alexandria | PBE-GGA | optimized geometry
# DFT total energy (eV per atom): -3.391
# Fermi-level density of states (states/eV per atom): 0.52
data_YBe2Hg
_cell_length_a 4.402
_cell_length_b 4.402
_cell_length_c 16.360
_cell_angle_alpha 90.00
_cell_angle_beta 90.00
_cell_angle_gamma 90.00
_space_group_name_H-M_alt 'I 41/a m d'
_space_group_IT_number 141
loop_
_space_group_symop_operation_xyz
'x,y,z'
'-x,-y,-z'
'-y+1/4,x+3/4,z+1/4'
'y+1/4,-x+3/4,-z+1/4'
'-x+1/2,-y,z+1/2'
'x+1/2,y,-z+1/2'
'y+1/4,-x+1/4,z+3/4'
'-y+1/4,x+1/4,-z+3/4'
'x,-y,-z'
'-x,y,z'
'-y+1/4,-x+1/4,-z+3/4'
'y+1/4,x+1/4,z+3/4'
'-x+1/2,y,-z+1/2'
'x+1/2,-y,z+1/2'
'y+1/4,x+3/4,-z+1/4'
'-y+1/4,-x+3/4,z+1/4'
'x+1/2,y+1/2,z+1/2'
'-x+1/2,-y+1/2,-z+1/2'
'-y+3/4,x+1/4,z+3/4'
'y+3/4,-x+1/4,-z+3/4'
'-x,-y+1/2,z'
'x,y+1/2,-z'
'y+3/4,-x+3/4,z+1/4'
'-y+3/4,x+3/4,-z+1/4'
'x+1/2,-y+1/2,-z+1/2'
'-x+1/2,y+1/2,z+1/2'
'-y+3/4,-x+3/4,-z+1/4'
'y+3/4,x+3/4,z+1/4'
'-x,y+1/2,-z'
'x,-y+1/2,z'
'y+3/4,x+1/4,-z+3/4'
'-y+3/4,-x+1/4,z+3/4'
loop_
_atom_site_label
_atom_site_type_symbol
_atom_site_fract_x
_atom_site_fract_y
_atom_site_fract_z
_atom_site_occupancy
Y1 Y 0.000 0.250 0.375 1
Be1 Be 0.000 0.000 0.000 1
Hg1 Hg 0.000 0.250 0.875 1


# 5
# Y2BeHg | Alexandria | PBE-GGA | optimized geometry
# Energy relative to the lowest polymorph listed for this composition (meV per atom): 166
# Fermi-level density of states (states/eV per atom): 1.03
data_Y2BeHg
_cell_length_a 4.4116
_cell_length_b 4.4116
_cell_length_c 17.6213
_cell_angle_alpha 90.00
_cell_angle_beta 90.00
_cell_angle_gamma 120.00
_space_group_name_H-M_alt 'R 3 m'
_space_group_IT_number 160
_space_group_name_Hall 'R 3 -2"'
loop_
_atom_site_label
_atom_site_type_symbol
_atom_site_fract_x
_atom_site_fract_y
_atom_site_fract_z
_atom_site_occupancy
Y1 Y 0.0000 0.0000 0.0000 1
Y2 Y 0.0000 0.0000 0.1908 1
Be1 Be 0.0000 0.0000 0.7790 1
Hg1 Hg 0.0000 0.0000 0.4241 1


# 6
# Y3BeHg | Alexandria | PBE-GGA | optimized geometry
# Energy relative to the lowest polymorph listed for this composition (meV per atom): 0
# Fermi-level density of states (states/eV per atom): 1.39
data_Y3BeHg
_cell_length_a 5.201
_cell_length_b 5.201
_cell_length_c 5.201
_cell_angle_alpha 90.00
_cell_angle_beta 90.00
_cell_angle_gamma 90.00
_space_group_name_H-M_alt 'P m -3 m'
_space_group_IT_number 221
_space_group_name_Hall '-P 4 2 3'
loop_
_atom_site_label
_atom_site_type_symbol
_atom_site_fract_x
_atom_site_fract_y
_atom_site_fract_z
_atom_site_occupancy
Y1 Y 0.000 0.000 0.500 1
Be1 Be 0.000 0.000 0.000 1
Hg1 Hg 0.500 0.500 0.500 1


# 7
# YBeHg | Alexandria | PBE-GGA | optimized geometry
# Energy relative to the lowest polymorph listed for this composition (meV per atom): 0
# Fermi-level density of states (states/eV per atom): 0.63
data_YBeHg
_cell_length_a 4.4009
_cell_length_b 4.4009
_cell_length_c 3.6559
_cell_angle_alpha 90.00
_cell_angle_beta 90.00
_cell_angle_gamma 120.00
_space_group_name_H-M_alt 'P -6 m 2'
_space_group_IT_number 187
_space_group_name_Hall 'P -6 2'
loop_
_atom_site_label
_atom_site_type_symbol
_atom_site_fract_x
_atom_site_fract_y
_atom_site_fract_z
_atom_site_occupancy
Y1 Y 0.0000 0.0000 0.0000 1
Be1 Be 0.6667 0.3333 0.5000 1
Hg1 Hg 0.3333 0.6667 0.5000 1


# 8
# Y2BeHg | Alexandria | PBE-GGA | optimized geometry
# Energy relative to the lowest polymorph listed for this composition (meV per atom): 0
# Fermi-level density of states (states/eV per atom): 0.67
data_Y2BeHg
_cell_length_a 3.516
_cell_length_b 3.516
_cell_length_c 7.390
_cell_angle_alpha 90.00
_cell_angle_beta 90.00
_cell_angle_gamma 90.00
_space_group_name_H-M_alt 'P 4/m m m'
_space_group_IT_number 123
_space_group_name_Hall '-P 4 2'
loop_
_atom_site_label
_atom_site_type_symbol
_atom_site_fract_x
_atom_site_fract_y
_atom_site_fract_z
_atom_site_occupancy
Y1 Y 0.000 0.000 0.222 1
Be1 Be 0.500 0.500 0.000 1
Hg1 Hg 0.500 0.500 0.500 1


# 9
# Y2BeHg | Alexandria | PBE-GGA | optimized geometry
# Energy relative to the lowest polymorph listed for this composition (meV per atom): 433
# Fermi-level density of states (states/eV per atom): 1.02
data_Y2BeHg
_cell_length_a 7.698
_cell_length_b 7.698
_cell_length_c 7.041
_cell_angle_alpha 90.00
_cell_angle_beta 90.00
_cell_angle_gamma 90.00
_space_group_name_H-M_alt 'I -4 2 d'
_space_group_IT_number 122
_space_group_name_Hall 'I -4 2bw'
loop_
_atom_site_label
_atom_site_type_symbol
_atom_site_fract_x
_atom_site_fract_y
_atom_site_fract_z
_atom_site_occupancy
Y1 Y 0.219 0.250 0.125 1
Be1 Be 0.000 0.000 0.000 1
Hg1 Hg 0.000 0.000 0.500 1


# 10
# YBe2Hg | Alexandria | PBE-GGA | optimized geometry
# DFT total energy (eV per atom): -3.429
# Fermi-level density of states (states/eV per atom): 0.51
data_YBe2Hg
_cell_length_a 3.629
_cell_length_b 4.220
_cell_length_c 4.965
_cell_angle_alpha 90.00
_cell_angle_beta 90.00
_cell_angle_gamma 90.00
_space_group_name_H-M_alt 'P m m m'
_space_group_IT_number 47
_space_group_name_Hall '-P 2 2'
loop_
_atom_site_label
_atom_site_type_symbol
_atom_site_fract_x
_atom_site_fract_y
_atom_site_fract_z
_atom_site_occupancy
Y1 Y 0.000 0.000 0.000 1
Be1 Be 0.500 0.500 0.234 1
Hg1 Hg 0.500 0.000 0.500 1


# 11
# YBeHg | Alexandria | PBE-GGA | optimized geometry
# Energy relative to the lowest polymorph listed for this composition (meV per atom): 183
# Fermi-level density of states (states/eV per atom): 1.16
data_YBeHg
_cell_length_a 6.351
_cell_length_b 6.351
_cell_length_c 6.351
_cell_angle_alpha 90.00
_cell_angle_beta 90.00
_cell_angle_gamma 90.00
_space_group_name_H-M_alt 'F -4 3 m'
_space_group_IT_number 216
_space_group_name_Hall 'F -4 2 3'
loop_
_atom_site_label
_atom_site_type_symbol
_atom_site_fract_x
_atom_site_fract_y
_atom_site_fract_z
_atom_site_occupancy
Y1 Y 0.000 0.000 0.000 1
Be1 Be 0.250 0.250 0.750 1
Hg1 Hg 0.000 0.000 0.500 1


# 12
# YBe2Hg | Alexandria | PBE-GGA | optimized geometry
# DFT total energy (eV per atom): -3.376
# Fermi-level density of states (states/eV per atom): 0.46
data_YBe2Hg
_cell_length_a 3.130
_cell_length_b 3.130
_cell_length_c 6.943
_cell_angle_alpha 90.00
_cell_angle_beta 90.00
_cell_angle_gamma 90.00
_space_group_name_H-M_alt 'P 4 m m'
_space_group_IT_number 99
_space_group_name_Hall 'P 4 -2'
loop_
_atom_site_label
_atom_site_type_symbol
_atom_site_fract_x
_atom_site_fract_y
_atom_site_fract_z
_atom_site_occupancy
Y1 Y 0.000 0.000 0.000 1
Be1 Be 0.000 0.000 0.421 1
Be2 Be 0.500 0.500 0.284 1
Hg1 Hg 0.500 0.500 0.660 1